(1)
Here is Er2TmZrSc4 after structural relaxation from Alexandria. Energies are from PBE.

Cell: 4.7424 4.7566 10.4345 Å, 62.92 90.00 90.00°
Fractional coordinates of all 8 atoms:
Sc  0.5000  0.7394  0.2605
Sc  0.5000  0.2606  0.7395
Sc  0.0000  0.7603  0.7397
Sc  0.0000  0.2397  0.2603
Er  0.0000  0.0000  0.0000
Er  0.5000  0.0000  0.5000
Zr  0.0000  0.5000  0.5000
Tm  0.5000  0.5000  0.0000

(2)
Here is ErTmZrSc after structural relaxation from Alexandria. Energies are from PBE.

Calculated values
Polymorph energy (0 for the lowest one) ... 0 meV/atom

Cell: 4.7356 4.7384 5.7900 Å, 114.15 114.14 90.00°
Fractional coordinates of all 4 atoms:
Sc  0.6196  0.6196  0.2392
Zr  0.8700  0.3700  0.7400
Er  0.1198  0.1198  0.2396
Tm  0.3697  0.8697  0.7394

(3)
Here is Er3Tm6ZrSc2 after structural relaxation from Alexandria. Energies are from PBE.

Cell: 5.9323 5.9323 11.3472 Å, 95.00 95.00 119.93°
Fractional coordinates of all 12 atoms:
Tm  0.0802  0.4095  0.2399
Tm  0.5905  0.9198  0.7601
Tm  0.4095  0.0802  0.2399
Tm  0.2490  0.2490  0.7606
Tm  0.9198  0.5905  0.7601
Tm  0.7510  0.7510  0.2394
Sc  0.6668  0.3332  0.0000
Sc  0.3332  0.6668  0.0000
Er  0.5000  0.5000  0.5000
Er  0.8332  0.1668  0.5000
Er  0.1668  0.8332  0.5000
Zr  0.0000  0.0000  0.0000

(4)
Here is Er6Tm3ZrSc2 after structural relaxation from Alexandria. Energies are from PBE.

Cell: 5.9402 5.9402 11.3584 Å, 94.99 94.99 119.92°
Fractional coordinates of all 12 atoms:
Er  0.2492  0.2492  0.7601
Er  0.9197  0.5900  0.7596
Er  0.5900  0.9197  0.7596
Er  0.0803  0.4100  0.2404
Er  0.7508  0.7508  0.2399
Er  0.4100  0.0803  0.2404
Tm  0.8332  0.1668  0.5000
Tm  0.1668  0.8332  0.5000
Tm  0.5000  0.5000  0.5000
Zr  0.0000  0.0000  0.0000
Sc  0.3332  0.6668  0.0000
Sc  0.6668  0.3332  0.0000

The records above give, respectively, energy relative to the elements values of 0.051 0.066 0.049 0.051 eV per atom.
The records above give, respectively, E_tot values of -47.06 -23.65 -61.14 -61.39 eV per formula unit.